Material: Hf2Ti2Ga
Method: DFT, GGA-PBE
State: relaxed

Lattice parameters (Å, degrees): 3.982 3.982 7.024 73.53 73.53 90.00
Sites, in units of the cell vectors:
Ti1 0.418 0.418 0.165
Hf1 0.750 0.250 0.500
Hf2 0.250 0.750 0.500
Ti2 0.582 0.582 0.835
Ga1 0.000 0.000 0.000

Computed properties:
Its mass density is 8.5 g/cm³. Its magnetization is 0.00 μB per formula unit. For the excess energy over the best structure of this formula in the dataset, the calculation gives 2.935 eV per formula unit. For the calculated total energy, the calculation gives -36.256 eV/cell.



Material: LaMnTe2
Method: DFT, GGA-PBE
State: relaxed

Lattice parameters (Å, degrees): 5.188 5.188 5.188 60.00 60.00 60.00
Sites, in units of the cell vectors:
La1 0.500 0.500 0.500
Te1 0.750 0.750 0.750
Te2 0.250 0.250 0.250
Mn1 0.000 0.000 0.000

Computed properties:
Its mass density is 7.6 g/cm³. Its magnetization is 0.00 μB per formula unit. For the excess energy over the best structure of this formula in the dataset, the calculation gives 2.785 eV per formula unit. The formation energy (no corrections) is -112.6 meV/atom. For the calculated total energy, the calculation gives -20.831 eV/cell.



Material: MnOsPb2
Method: DFT, GGA-PBE
State: relaxed

Lattice parameters (Å, degrees): 6.768 6.768 6.768 153.29 140.02 48.73
Sites, in units of the cell vectors:
Os1 0.270 0.770 0.500
Pb1 0.041 0.041 0.000
Mn1 0.433 0.433 0.000
Pb2 0.757 0.257 0.500

Computed properties:
Its mass density is 12.3 g/cm³. Its magnetization is 3.68 μB per formula unit. For the excess energy over the best structure of this formula in the dataset, the calculation gives 1.063 eV per formula unit. For the calculated total energy, the calculation gives -25.247 eV/cell.



Material: Pm8Te4As3O
Method: DFT, GGA-PBE
State: relaxed

Lattice parameters (Å, degrees): 8.414 8.724 8.415 118.84 120.00 90.00
Sites, in units of the cell vectors:
Te1 0.500 0.000 0.500
Pm1 0.754 0.707 0.981
Pm2 0.227 0.707 0.453
Pm3 0.773 0.293 0.547
Pm4 0.246 0.293 0.019
O1 0.000 0.500 0.000
Te2 0.000 0.000 0.500
Pm5 0.774 0.293 0.019
Pm6 0.260 0.280 0.520
Te3 0.000 0.000 0.000
Pm7 0.226 0.707 0.981
Pm8 0.740 0.720 0.480
As1 0.500 0.500 0.000
As2 0.500 0.500 0.500
As3 0.000 0.500 0.500
Te4 0.500 0.000 0.000

Computed properties:
Its mass density is 7.1 g/cm³. Its magnetization is 0.00 μB per formula unit. The formation energy (no corrections) is -1593.1 meV/atom. For the calculated total energy, the calculation gives -94.967 eV/cell.



Material: BeAg3Au6
Method: DFT, GGA-PBE
State: relaxed

Lattice parameters (Å, degrees): 4.469 8.354 9.369 98.79 90.00 90.00
Sites, in units of the cell vectors:
Au1 0.250 0.141 0.161
Ag1 0.750 0.627 0.225
Ag2 0.250 0.766 0.015
Au2 0.750 0.859 0.839
Ag3 0.250 0.373 0.775
Au3 0.750 0.796 0.519
Ag4 0.250 0.533 0.401
Ag5 0.750 0.467 0.599
Au4 0.250 0.696 0.691
Au5 0.250 0.450 0.088
Be1 0.250 0.957 0.594
Au6 0.250 0.204 0.481
Ag6 0.750 0.234 0.985
Au7 0.750 0.942 0.153
Au8 0.750 0.135 0.663
Au9 0.250 0.865 0.337
Au10 0.750 0.550 0.912
Au11 0.750 0.304 0.309
Au12 0.250 0.058 0.847
Be2 0.750 0.043 0.406

Computed properties:
Its mass density is 14.6 g/cm³. Its magnetization is 0.00 μB per formula unit. For the calculated total energy, the calculation gives -64.688 eV/cell.



Material: PmCuCl5
Method: DFT, GGA-PBE
State: relaxed

Lattice parameters (Å, degrees): 7.566 7.566 8.413 83.73 83.73 122.41
Sites, in units of the cell vectors:
Cu1 0.000 0.000 0.500
Cl1 0.721 0.499 0.528
Cl2 0.279 0.501 0.472
Pm1 0.540 0.460 0.250
Pm2 0.460 0.540 0.750
Cl3 0.695 0.966 0.613
Cl4 0.034 0.305 0.887
Cl5 0.499 0.721 0.028
Cl6 0.501 0.279 0.972
Cl7 0.070 0.930 0.750
Cu2 0.000 0.000 0.000
Cl8 0.966 0.695 0.113
Cl9 0.305 0.034 0.387
Cl10 0.930 0.070 0.250

Computed properties:
Its mass density is 3.2 g/cm³. Its magnetization is 0.00 μB per formula unit. The formation energy (no corrections) is -1459.1 meV/atom. For the calculated total energy, the calculation gives -56.587 eV/cell.



Material: GeB2WSe
Method: DFT, GGA-PBE
State: relaxed

Lattice parameters (Å, degrees): 3.957 5.099 3.957 90.00 90.00 90.00
Sites, in units of the cell vectors:
W1 0.000 0.500 0.000
Se1 0.000 0.000 0.000
B1 0.000 0.000 0.500
Ge1 0.500 0.500 0.500
B2 0.500 0.000 0.000

Computed properties:
Its mass density is 7.4 g/cm³. Its magnetization is 0.00 μB per formula unit. The formation energy (no corrections) is 1930.4 meV/atom. For the calculated total energy, the calculation gives -24.758 eV/cell.



Material: SrHPt
Method: DFT, GGA-PBE
State: relaxed

Lattice parameters (Å, degrees): 3.866 3.866 3.600 90.00 90.00 90.00
Sites, in units of the cell vectors:
Sr1 0.000 0.000 0.000
H1 0.500 0.500 0.000
Pt1 0.500 0.500 0.500

Computed properties:
Its mass density is 8.8 g/cm³. Its magnetization is 0.00 μB per formula unit. For the excess energy over the best structure of this formula in the dataset, the calculation gives 0.130 eV per formula unit. For the calculated total energy, the calculation gives -13.075 eV/cell.



Material: LaInW2
Method: DFT, GGA-PBE
State: relaxed

Lattice parameters (Å, degrees): 4.919 4.919 4.919 60.00 60.00 60.00
Sites, in units of the cell vectors:
La1 0.750 0.750 0.750
W1 0.250 0.250 0.250
In1 0.500 0.500 0.500
W2 0.000 0.000 0.000

Computed properties:
Its mass density is 12.3 g/cm³. Its magnetization is 0.00 μB per formula unit. For the calculated total energy, the calculation gives -30.790 eV/cell.



Material: KZnSn3
Method: DFT, GGA-PBE
State: relaxed

Lattice parameters (Å, degrees): 5.426 5.426 5.426 90.00 90.00 90.00
Sites, in units of the cell vectors:
K1 0.500 0.500 0.500
Sn1 0.000 0.000 0.500
Sn2 0.500 0.000 0.000
Sn3 0.000 0.500 0.000
Zn1 0.000 0.000 0.000

Computed properties:
Its mass density is 4.8 g/cm³. Its magnetization is 0.00 μB per formula unit. For the excess energy over the best structure of this formula in the dataset, the calculation gives 1.465 eV per formula unit. For the calculated total energy, the calculation gives -13.626 eV/cell.



Material: CaZn4Au4
Method: DFT, GGA-PBE
State: relaxed

Lattice parameters (Å, degrees): 6.687 6.687 8.130 90.00 90.00 90.00
Sites, in units of the cell vectors:
Zn1 0.000 0.762 0.389
Zn2 0.500 0.262 0.111
Au1 0.708 0.000 0.290
Au2 0.208 0.500 0.210
Zn3 0.262 0.500 0.889
Zn4 0.738 0.500 0.889
Au3 0.500 0.208 0.790
Au4 0.000 0.292 0.710
Au5 0.500 0.792 0.790
Zn5 0.000 0.238 0.389
Zn6 0.500 0.738 0.111
Zn7 0.762 0.000 0.611
Au6 0.792 0.500 0.210
Au7 0.292 0.000 0.290
Au8 0.000 0.708 0.710
Zn8 0.238 0.000 0.611
Ca1 0.000 0.000 0.000
Ca2 0.500 0.500 0.500

Computed properties:
Its mass density is 10.0 g/cm³. Its magnetization is 0.00 μB per formula unit. For the calculated total energy, the calculation gives -46.141 eV/cell.



Material: RbRhAu3
Method: DFT, GGA-PBE
State: relaxed

Lattice parameters (Å, degrees): 5.740 5.740 5.740 90.00 90.00 90.00
Sites, in units of the cell vectors:
Au1 0.000 0.000 0.500
Rh1 0.500 0.500 0.500
Au2 0.500 0.000 0.000
Rb1 0.000 0.000 0.000
Au3 0.000 0.500 0.000

Computed properties:
Its mass density is 6.8 g/cm³. Its magnetization is 1.71 μB per formula unit. For the excess energy over the best structure of this formula in the dataset, the calculation gives 7.963 eV per formula unit. For the calculated total energy, the calculation gives -8.663 eV/cell.